# CaSOF2

An optimized crystal structure of CaSOF2 (PBE, Alexandria via LeMat-Bulk).

Cell: 4.6040 4.6040 3.6050 Å, 90.00 90.00 90.00°
Fractional coordinates of all 5 atoms:
F 0.0000 0.5000 0.0000
F 0.5000 0.0000 0.0000
Ca 0.5000 0.5000 0.5000
O 0.0000 0.0000 0.5000
S 0.0000 0.0000 0.0000

**Uncorrected formation energy**: -7.0 eV/f.u.
**Total energy**: -4.37 eV/atom
**ρ**: 2.741 g cm⁻³

***

# CaSO4F

An optimized crystal structure of CaSO4F (PBE, Alexandria via LeMat-Bulk).

Cell: 5.8491 5.8491 6.6604 Å, 78.65 78.65 76.46°
Each line ends with the local moment (μB).
Fractional coordinates of all 14 atoms:
O 0.4755 0.4755 0.7666  0.28
O 0.7098 0.7098 0.5057  0.21
O 0.4785 0.1470 0.1690  0.17
O 0.8530 0.5215 0.8310  0.17
O 0.5245 0.5245 0.2334  0.28
O 0.1470 0.4785 0.1690  0.17
O 0.5215 0.8530 0.8310  0.17
O 0.2902 0.2902 0.4943  0.21
S 0.3585 0.3585 0.2701  -0.02
S 0.6415 0.6415 0.7299  -0.02
Ca 0.8068 0.8068 0.1248  0.00
Ca 0.1932 0.1932 0.8752  0.00
F 0.0300 0.0300 0.1838  0.10
F 0.9700 0.9700 0.8162  0.10

**Uncorrected formation energy**: -13.6 eV/f.u.
**Total energy**: -5.92 eV/atom
**ρ**: 2.402 g cm⁻³

***

# CaSOF2

An optimized crystal structure of CaSOF2 (PBE, Alexandria via LeMat-Bulk).

Cell: 4.3016 4.3016 4.8341 Å, 90.00 90.00 90.00°
Each line ends with the local moment (μB).
Fractional coordinates of all 5 atoms:
F 0.0000 0.5000 0.0000  0.11
F 0.5000 0.0000 0.0000  0.11
Ca 0.0000 0.0000 0.0000  0.00
O 0.0000 0.0000 0.5000  -0.69
S 0.5000 0.5000 0.5000  1.21

**Uncorrected formation energy**: -6.1 eV/f.u.
**Total energy**: -4.19 eV/atom
**ρ**: 2.342 g cm⁻³

***

# CaScOF2

An optimized crystal structure of CaScOF2 (PBE, Alexandria via LeMat-Bulk).

Cell: 4.2645 4.2645 4.0831 Å, 90.00 90.00 90.00°
Each line ends with the local moment (μB).
Fractional coordinates of all 5 atoms:
F 0.5000 0.0000 0.0000  0.01
F 0.0000 0.5000 0.0000  0.01
O 0.0000 0.0000 0.5000  -0.01
Ca 0.5000 0.5000 0.5000  0.09
Sc 0.0000 0.0000 0.0000  0.20

**Uncorrected formation energy**: -14.9 eV/f.u.
**Total energy**: -6.39 eV/atom
**ρ**: 3.109 g cm⁻³

***

# CaScOF2

An optimized crystal structure of CaScOF2 (PBE, Alexandria via LeMat-Bulk).

Cell: 4.1993 4.1993 4.5603 Å, 90.00 90.00 90.00°
Each line ends with the local moment (μB).
Fractional coordinates of all 5 atoms:
F 0.0000 0.5000 0.0000  0.01
F 0.5000 0.0000 0.0000  0.01
O 0.0000 0.0000 0.5000  -0.03
Ca 0.0000 0.0000 0.0000  0.00
Sc 0.5000 0.5000 0.5000  0.81

**Uncorrected formation energy**: -12.2 eV/f.u.
**Total energy**: -5.84 eV/atom
**ρ**: 2.871 g cm⁻³

***

# CaSe2O6F

An optimized crystal structure of CaSe2O6F (PBE, Alexandria via LeMat-Bulk).

Cell: 5.0876 8.3415 8.3415 Å, 82.76 77.03 77.03°
Fractional coordinates of all 20 atoms:
O 0.2303 0.3519 0.0374
O 0.0408 0.6124 0.2384
O 0.7697 0.6481 0.9626
O 0.9259 0.7157 0.6204
O 0.9592 0.3876 0.7616
O 0.4259 0.6204 0.7157
O 0.4592 0.7616 0.3876
O 0.5408 0.2384 0.6124
O 0.0741 0.2843 0.3796
O 0.2697 0.9626 0.6481
O 0.5741 0.3796 0.2843
O 0.7303 0.0374 0.3519
F 0.7500 0.0675 0.9325
F 0.2500 0.9325 0.0675
Se 0.2967 0.7816 0.5796
Se 0.7967 0.5796 0.7816
Se 0.7033 0.2184 0.4204
Se 0.2033 0.4204 0.2184
Ca 0.2500 0.1296 0.8704
Ca 0.7500 0.8704 0.1296

**Uncorrected formation energy**: -11.8 eV/f.u.
**Total energy**: -5.24 eV/atom
**ρ**: 3.102 g cm⁻³

***

- Number 5 is which compound?
  CaScOF2